DFT (GGA-PBE) results for a geometry-optimized DyYCu structure.

Computed properties:
raw total energy	-0.3840	Ry/atom
Fermi-level density of states	12.67	states/eV per cell
distance to the lowest polymorph of the same formula	0.0	kJ per mole of atoms
V	24.7	A^3/atom
DFT formation energy	-170	meV per atom
SG	No. 62

Cell: 6.9467 4.9018 8.7015 Å, 90.00 90.00 90.00°
Element x y z (fractional)
Dy 0.1432 0.2500 0.0844
Dy 0.3568 0.7500 0.5844
Dy 0.6432 0.2500 0.4156
Dy 0.8568 0.7500 0.9156
Y 0.0152 0.2500 0.6739
Y 0.4848 0.7500 0.1739
Y 0.5152 0.2500 0.8261
Y 0.9848 0.7500 0.3261
Cu 0.2437 0.2500 0.3999
Cu 0.2563 0.7500 0.8999
Cu 0.7437 0.2500 0.1001
Cu 0.7563 0.7500 0.6001